Crystalline K2PmDyTe4 at its relaxed geometry. Source: the Alexandria database, functional PBE.

Results
The formation energy from raw total energies comes out at -1.405 eV/atom. For the total energy, the calculation gives -35.36 eV per cell.

Unit cell a=7.870 b=4.544 c=8.656 alpha=90.00 beta=107.62 gamma=90.00
Space group P2/m (No. 10)
Inequivalent atoms, fractional coordinates:
K  0.000  0.000  0.000
K  0.500  0.500  0.000
Pm  0.000  0.500  0.500
Dy  0.500  0.000  0.500
Te  0.243  0.000  0.712
Te  0.269  0.500  0.290